(1)
Here is a relaxed structure of Cs3Cd2Hg5 from Alexandria. Energies are from PBE-GGA.

Cell lengths 12.3051, 16.4309, 8.0198 Å; angles 90.00, 90.00, 90.00 degrees
Last column: nearest neighbours and their distance in Å.
Space group Ibam (No. 72)
One atom of each set of equivalent atoms:
Cs (0.0000, 0.0000, 0.2500) (multiplicity 4)  4 Cd 3.69, 2 Hg 3.77, 2 Cs 4.01
Cs (0.2124, 0.3744, 0.0000) (multiplicity 8)  1 Cd 3.81, 7 Hg 3.82-4.26
Cd (0.1585, 0.1462, 0.0000) (multiplicity 8)  3 Hg 3.01-3.11
Hg (0.0000, 0.2294, 0.2500) (multiplicity 8)  2 Cd 3.11, 2 Hg 3.20
Hg (0.0000, 0.5000, 0.2500) (multiplicity 4)  4 Hg 3.25
Hg (0.0976, 0.3624, 0.5000) (multiplicity 8)  1 Cd 3.01, 4 Hg 3.20-3.25

Size of the total moment: 0.0 μB per cell
Formation energy from the elements: -0.1303 eV per atom

***

(2)
Here is a relaxed structure of CsCd4Hg8 from Alexandria. Energies are from PBE-GGA.

Cell lengths 10.9532, 10.9532, 6.1184 Å; angles 90.00, 90.00, 90.00 degrees
Last column: nearest neighbours and their distance in Å.
Space group I4/mmm (No. 139)
One atom of each set of equivalent atoms:
Cs (0.0000, 0.0000, 0.0000) (multiplicity 2)  12 Hg 3.86-3.90, 8 Cd 4.16
Cd (0.2500, 0.2500, 0.2500) (multiplicity 8)  2 Cd 3.06, 8 Hg 3.15-3.33
Hg (0.0000, 0.2202, 0.5000) (multiplicity 8)  4 Cd 3.15, 6 Hg 3.39-3.46
Hg (0.0000, 0.3527, 0.0000) (multiplicity 8)  5 Hg 3.23-3.46, 4 Cd 3.33

Size of the total moment: 0.0 μB per cell
Formation energy from the elements: -0.0685 eV per atom

***

(3)
Here is a relaxed structure of Cs3CdHg from Alexandria. Energies are from PBE-GGA.

Cell lengths 7.2598, 7.2598, 7.2598 Å; angles 90.00, 90.00, 90.00 degrees
Last column: nearest neighbours and their distance in Å.
Space group Pm-3m (No. 221)
One atom of each set of equivalent atoms:
Cs (0.0000, 0.0000, 0.5000) (multiplicity 3)  2 Hg 3.63
Cd (0.5000, 0.5000, 0.5000) (multiplicity 1)  12 Cs 5.13
Hg (0.0000, 0.0000, 0.0000) (multiplicity 1)  6 Cs 3.63

Size of the total moment: 0.0 μB per cell
Formation energy from the elements: 0.0255 eV per atom

***

(4)
Here is a relaxed structure of CsCdHg from Alexandria. Energies are from PBE-GGA.

Cell lengths 11.7928, 9.0807, 5.3984 Å; angles 90.00, 117.13, 90.00 degrees
Last column: nearest neighbours and their distance in Å.
Space group C2/m (No. 12)
One atom of each set of equivalent atoms:
Cs (0.2453, 0.0000, 0.2453) (multiplicity 4)  6 Cd 3.98-4.09, 6 Hg 3.99-4.06
Cd (0.0000, 0.3335, 0.0000) (multiplicity 4)  1 Cd 3.02, 2 Hg 3.06
Hg (0.0000, 0.1745, 0.5000) (multiplicity 4)  2 Cd 3.06, 1 Hg 3.17

Size of the total moment: 0.0 μB per cell
Formation energy from the elements: -0.1408 eV per atom

***

(5)
Here is a relaxed structure of Cs2Cd7Hg12 from Alexandria. Energies are from PBE-GGA.

Cell lengths 11.4565, 11.4565, 5.4580 Å; angles 90.00, 90.00, 120.00 degrees
Last column: nearest neighbours and their distance in Å.
Space group P-3 (No. 147)
One atom of each set of equivalent atoms:
Cs (0.3333, 0.6667, 0.2659) (multiplicity 2)  12 Hg 3.83-4.16, 6 Cd 4.02-4.27
Cd (0.0000, 0.0000, 0.0000) (multiplicity 1)  6 Hg 2.99
Cd (0.0964, 0.3693, 0.8008) (multiplicity 6)  6 Hg 2.98-3.18
Hg (0.0640, 0.6098, 0.7423) (multiplicity 6)  3 Cd 2.98-3.18, 1 Hg 3.07
Hg (0.1029, 0.2489, 0.3070) (multiplicity 6)  4 Cd 2.98-3.11, 3 Hg 3.07-3.26

Size of the total moment: 0.0 μB per cell
Formation energy from the elements: -0.0707 eV per atom

***

(6)
Here is a relaxed structure of CsCdHg2 from Alexandria. Energies are from PBE-GGA.

Cell lengths 5.2223, 5.2223, 19.5432 Å; angles 90.00, 90.00, 120.00 degrees
Last column: nearest neighbours and their distance in Å.
Space group R3m (No. 160, hexagonal axes)
One atom of each set of equivalent atoms:
Cs (0.0000, 0.0000, 0.0000) (multiplicity 3)  4 Cd 3.87-4.01, 7 Hg 3.88-4.05
Cd (0.0000, 0.0000, 0.8019) (multiplicity 3)  6 Hg 3.02-3.26
Hg (0.0000, 0.0000, 0.1987) (multiplicity 3)  3 Hg 3.24, 3 Cd 3.26
Hg (0.0000, 0.0000, 0.4720) (multiplicity 3)  3 Cd 3.02, 3 Hg 3.24

Size of the total moment: 0.0 μB per cell
Formation energy from the elements: -0.1463 eV per atom